Material: NbCoAsO
Method: DFT, PBE with a Hubbard U
State: optimized geometry

The structure in POSCAR format:
```
NbCoAsO
1.0
4.104 0.000 0.000
0.000 5.531 0.000
0.000 0.000 5.273
Nb Co As O
2 2 2 2
direct
0.000 0.174 0.000
0.000 0.826 0.500
0.500 0.139 0.643
0.500 0.861 0.143
0.000 0.315 0.493
0.000 0.685 0.993
0.500 0.213 0.017
0.500 0.787 0.517
```

Properties
Space-group type = Pmc2_1
Energy above the most stable polymorph in this dataset = 0.0 kJ/mol of atoms